Here is NaSbP2S6 at its PBEsol-relaxed geometry from Alexandria. Energies are from meta-GGA SCAN.

```
data_NaSbP2S6
_chemical_formula_sum 'Na2 Sb2 P4 S12'
_cell_length_a 6.434
_cell_length_b 7.345
_cell_length_c 9.247
_cell_angle_alpha 90.00
_cell_angle_beta 92.07
_cell_angle_gamma 90.00
_space_group_name_H-M_alt 'P 1 21 1'
_space_group_IT_number 4
_space_group_name_Hall 'P 2yb'
loop_
_atom_site_label
_atom_site_fract_x
_atom_site_fract_y
_atom_site_fract_z
Na1 0.194 0.000 0.002
Sb1 0.304 0.723 0.483
P1 0.185 0.279 0.319
P2 0.314 0.499 0.183
S1 0.082 0.690 0.774
S2 0.099 0.698 0.203
S3 0.147 0.399 0.519
S4 0.368 0.395 0.992
S5 0.413 0.083 0.323
S6 0.432 0.078 0.689
```

Computed properties:
The formation energy from raw total energies comes out at -0.516 eV per atom. As for the energy above the most stable polymorph in this dataset: 0.0094 eV per atom.

Here is NaSbP2S6 at its PBEsol-relaxed geometry from Alexandria. Energies are from meta-GGA SCAN.

```
data_NaSbP2S6
_chemical_formula_sum 'Na4 Sb4 P8 S24'
_cell_length_a 11.136
_cell_length_b 7.184
_cell_length_c 11.510
_cell_angle_alpha 90.00
_cell_angle_beta 108.84
_cell_angle_gamma 90.00
_space_group_name_H-M_alt 'P 1 21/c 1'
_space_group_IT_number 14
_space_group_name_Hall '-P 2ybc'
loop_
_atom_site_label
_atom_site_fract_x
_atom_site_fract_y
_atom_site_fract_z
Na1 0.093 0.109 0.379
Sb1 0.372 0.647 0.675
P1 0.253 0.124 0.701
P2 0.258 0.602 0.336
S1 0.075 0.218 0.632
S2 0.157 0.690 0.723
S3 0.186 0.000 0.960
S4 0.324 0.508 0.078
S5 0.377 0.188 0.308
S6 0.442 0.693 0.395
```

Computed properties:
The formation energy from raw total energies comes out at -0.526 eV per atom. As for the energy above the most stable polymorph in this dataset: 0.0000 eV per atom.

Here is NaScPS2 at its PBEsol-relaxed geometry from Alexandria. Energies are from meta-GGA SCAN.

```
data_NaScPS2
_chemical_formula_sum 'Na1 Sc1 P1 S2'
_cell_length_a 4.909
_cell_length_b 4.909
_cell_length_c 4.923
_cell_angle_alpha 90.00
_cell_angle_beta 90.00
_cell_angle_gamma 90.00
_space_group_name_H-M_alt 'P 4/m m m'
_space_group_IT_number 123
_space_group_name_Hall '-P 4 2'
loop_
_atom_site_label
_atom_site_fract_x
_atom_site_fract_y
_atom_site_fract_z
Na1 0.000 0.000 0.000
Sc1 0.500 0.500 0.500
P1 0.500 0.500 0.000
S1 0.000 0.500 0.500
```

Computed properties:
The formation energy from raw total energies comes out at -0.620 eV per atom.

Here is NaTaP2S at its PBEsol-relaxed geometry from Alexandria. Energies are from meta-GGA SCAN.

```
data_NaTaP2S
_chemical_formula_sum 'Na1 Ta1 P2 S1'
_cell_length_a 4.558
_cell_length_b 4.558
_cell_length_c 4.549
_cell_angle_alpha 90.00
_cell_angle_beta 90.00
_cell_angle_gamma 90.00
_space_group_name_H-M_alt 'P 4/m m m'
_space_group_IT_number 123
_space_group_name_Hall '-P 4 2'
loop_
_atom_site_label
_atom_site_fract_x
_atom_site_fract_y
_atom_site_fract_z
Na1 0.000 0.000 0.000
Ta1 0.500 0.500 0.500
P1 0.000 0.500 0.000
S1 0.000 0.000 0.500
```

Computed properties:
The formation energy from raw total energies comes out at 1.666 eV per atom.

Here is NaTiP2S at its PBEsol-relaxed geometry from Alexandria. Energies are from meta-GGA SCAN.

```
data_NaTiP2S
_chemical_formula_sum 'Na1 Ti1 P2 S1'
_cell_length_a 4.639
_cell_length_b 4.639
_cell_length_c 4.653
_cell_angle_alpha 90.00
_cell_angle_beta 90.00
_cell_angle_gamma 90.00
_space_group_name_H-M_alt 'P 4/m m m'
_space_group_IT_number 123
_space_group_name_Hall '-P 4 2'
loop_
_atom_site_label
_atom_site_fract_x
_atom_site_fract_y
_atom_site_fract_z
Na1 0.000 0.000 0.000
Ti1 0.500 0.500 0.500
P1 0.000 0.500 0.000
S1 0.000 0.000 0.500
```

Computed properties:
The formation energy from raw total energies comes out at 1.100 eV per atom.

Here is NaPWS2 at its PBEsol-relaxed geometry from Alexandria. Energies are from meta-GGA SCAN.

```
data_NaPWS2
_chemical_formula_sum 'Na1 P1 W1 S2'
_cell_length_a 4.703
_cell_length_b 4.703
_cell_length_c 4.699
_cell_angle_alpha 90.00
_cell_angle_beta 90.00
_cell_angle_gamma 90.00
_space_group_name_H-M_alt 'P 4/m m m'
_space_group_IT_number 123
_space_group_name_Hall '-P 4 2'
loop_
_atom_site_label
_atom_site_fract_x
_atom_site_fract_y
_atom_site_fract_z
Na1 0.000 0.000 0.000
P1 0.500 0.500 0.000
W1 0.500 0.500 0.500
S1 0.000 0.500 0.500
```

Computed properties:
The formation energy from raw total energies comes out at -0.208 eV per atom.

Here is NaSb3P at its PBEsol-relaxed geometry from Alexandria. Energies are from meta-GGA SCAN.

```
data_NaSb3P
_chemical_formula_sum 'Na1 Sb3 P1'
_cell_length_a 5.257
_cell_length_b 5.257
_cell_length_c 5.257
_cell_angle_alpha 90.00
_cell_angle_beta 90.00
_cell_angle_gamma 90.00
_space_group_name_H-M_alt 'P m -3 m'
_space_group_IT_number 221
_space_group_name_Hall '-P 4 2 3'
loop_
_atom_site_label
_atom_site_fract_x
_atom_site_fract_y
_atom_site_fract_z
Na1 0.000 0.000 0.000
Sb1 0.000 0.500 0.500
P1 0.500 0.500 0.500
```

Computed properties:
The formation energy from raw total energies comes out at 0.392 eV per atom.

Here is Na3ScP at its PBEsol-relaxed geometry from Alexandria. Energies are from meta-GGA SCAN.

```
data_Na3ScP
_chemical_formula_sum 'Na3 Sc1 P1'
_cell_length_a 5.348
_cell_length_b 5.348
_cell_length_c 5.348
_cell_angle_alpha 90.00
_cell_angle_beta 90.00
_cell_angle_gamma 90.00
_space_group_name_H-M_alt 'P m -3 m'
_space_group_IT_number 221
_space_group_name_Hall '-P 4 2 3'
loop_
_atom_site_label
_atom_site_fract_x
_atom_site_fract_y
_atom_site_fract_z
Na1 0.000 0.000 0.500
Sc1 0.500 0.500 0.500
P1 0.000 0.000 0.000
```

Computed properties:
The calculation puts the calculated formation energy at 0.34 eV/atom.

Here is NaSc2TaP at its PBEsol-relaxed geometry from Alexandria. Energies are from meta-GGA SCAN.

```
data_NaSc2TaP
_chemical_formula_sum 'Na1 Sc2 Ta1 P1'
_cell_length_a 5.156
_cell_length_b 5.156
_cell_length_c 4.789
_cell_angle_alpha 90.00
_cell_angle_beta 90.00
_cell_angle_gamma 90.00
_space_group_name_H-M_alt 'P 4/m m m'
_space_group_IT_number 123
_space_group_name_Hall '-P 4 2'
loop_
_atom_site_label
_atom_site_fract_x
_atom_site_fract_y
_atom_site_fract_z
Na1 0.000 0.000 0.000
Sc1 0.000 0.500 0.500
Ta1 0.500 0.500 0.500
P1 0.500 0.500 0.000
```

Computed properties:
The calculation puts the calculated formation energy at 0.36 eV/atom.

Here is NaPSe3 at its PBEsol-relaxed geometry from Alexandria. Energies are from meta-GGA SCAN.

```
data_NaPSe3
_chemical_formula_sum 'Na1 P1 Se3'
_cell_length_a 4.865
_cell_length_b 4.865
_cell_length_c 4.865
_cell_angle_alpha 90.00
_cell_angle_beta 90.00
_cell_angle_gamma 90.00
_space_group_name_H-M_alt 'P m -3 m'
_space_group_IT_number 221
_space_group_name_Hall '-P 4 2 3'
loop_
_atom_site_label
_atom_site_fract_x
_atom_site_fract_y
_atom_site_fract_z
Na1 0.000 0.000 0.000
P1 0.500 0.500 0.500
Se1 0.000 0.500 0.500
```

Computed properties:
The formation energy from raw total energies comes out at -0.036 eV per atom. As for the energy above the most stable polymorph in this dataset: 0.0000 eV per atom.

Here is Na2PSe3 at its PBEsol-relaxed geometry from Alexandria. Energies are from meta-GGA SCAN.

```
data_Na2PSe3
_chemical_formula_sum 'Na16 P8 Se24'
_cell_length_a 11.691
_cell_length_b 13.134
_cell_length_c 7.946
_cell_angle_alpha 90.00
_cell_angle_beta 90.00
_cell_angle_gamma 90.00
_space_group_name_H-M_alt 'C m c e'
_space_group_IT_number 64
_space_group_name_Hall '-C 2ac 2'
loop_
_atom_site_label
_atom_site_fract_x
_atom_site_fract_y
_atom_site_fract_z
Na1 0.000 0.185 0.157
Na2 0.250 0.026 0.750
P1 0.000 0.079 0.554
Se1 0.000 0.053 0.829
Se2 0.156 0.156 0.466
```

Computed properties:
The formation energy from raw total energies comes out at -0.836 eV per atom.

Here is NaPSe3 at its PBEsol-relaxed geometry from Alexandria. Energies are from meta-GGA SCAN.

```
data_NaPSe3
_chemical_formula_sum 'Na1 P1 Se3'
_cell_length_a 4.925
_cell_length_b 4.925
_cell_length_c 4.925
_cell_angle_alpha 90.00
_cell_angle_beta 90.00
_cell_angle_gamma 90.00
_space_group_name_H-M_alt 'P m -3 m'
_space_group_IT_number 221
_space_group_name_Hall '-P 4 2 3'
loop_
_atom_site_label
_atom_site_fract_x
_atom_site_fract_y
_atom_site_fract_z
Na1 0.000 0.000 0.000
P1 0.500 0.500 0.500
Se1 0.000 0.000 0.500
```

Computed properties:
The formation energy from raw total energies comes out at 1.206 eV per atom. As for the energy above the most stable polymorph in this dataset: 1.2420 eV per atom.

Here is Na3SiP at its PBEsol-relaxed geometry from Alexandria. Energies are from meta-GGA SCAN.

```
data_Na3SiP
_chemical_formula_sum 'Na3 Si1 P1'
_cell_length_a 5.320
_cell_length_b 5.320
_cell_length_c 5.320
_cell_angle_alpha 90.00
_cell_angle_beta 90.00
_cell_angle_gamma 90.00
_space_group_name_H-M_alt 'P m -3 m'
_space_group_IT_number 221
_space_group_name_Hall '-P 4 2 3'
loop_
_atom_site_label
_atom_site_fract_x
_atom_site_fract_y
_atom_site_fract_z
Na1 0.000 0.000 0.500
Si1 0.500 0.500 0.500
P1 0.000 0.000 0.000
```

Computed properties:
The formation energy from raw total energies comes out at 0.406 eV per atom.

Here is NaSi2P2 at its PBEsol-relaxed geometry from Alexandria. Energies are from meta-GGA SCAN.

```
data_NaSi2P2
_chemical_formula_sum 'Na2 Si4 P4'
_cell_length_a 4.398
_cell_length_b 4.398
_cell_length_c 10.467
_cell_angle_alpha 90.00
_cell_angle_beta 90.00
_cell_angle_gamma 90.00
_space_group_name_H-M_alt 'I 4/m m m'
_space_group_IT_number 139
_space_group_name_Hall '-I 4 2'
loop_
_atom_site_label
_atom_site_fract_x
_atom_site_fract_y
_atom_site_fract_z
Na1 0.000 0.000 0.000
Si1 0.000 0.500 0.250
P1 0.000 0.000 0.336
```

Computed properties:
The formation energy from raw total energies comes out at 0.125 eV per atom.

Here is Na4Sr2SiP4 at its PBEsol-relaxed geometry from Alexandria. Energies are from meta-GGA SCAN.

```
data_Na4Sr2SiP4
_chemical_formula_sum 'Na16 Sr8 Si4 P16'
_cell_length_a 9.222
_cell_length_b 15.956
_cell_length_c 7.214
_cell_angle_alpha 90.00
_cell_angle_beta 90.88
_cell_angle_gamma 90.00
_space_group_name_H-M_alt 'C 1 c 1'
_space_group_IT_number 9
_space_group_name_Hall 'C -2yc'
loop_
_atom_site_label
_atom_site_fract_x
_atom_site_fract_y
_atom_site_fract_z
Na1 0.000 0.071 0.000
Na2 0.086 0.424 0.537
Na3 0.087 0.236 0.703
Na4 0.301 0.355 0.025
Sr1 0.005 0.261 0.199
Sr2 0.290 0.026 0.697
Si1 0.300 0.167 0.314
P1 0.001 0.404 0.920
P2 0.089 0.098 0.404
P3 0.291 0.302 0.411
P4 0.295 0.162 0.995
```

Computed properties:
The formation energy from raw total energies comes out at -0.802 eV per atom.

Here is NaZnSi2P at its PBEsol-relaxed geometry from Alexandria. Energies are from meta-GGA SCAN.

```
data_NaZnSi2P
_chemical_formula_sum 'Na1 Zn1 Si2 P1'
_cell_length_a 4.678
_cell_length_b 4.678
_cell_length_c 4.827
_cell_angle_alpha 90.00
_cell_angle_beta 90.00
_cell_angle_gamma 90.00
_space_group_name_H-M_alt 'P 4/m m m'
_space_group_IT_number 123
_space_group_name_Hall '-P 4 2'
loop_
_atom_site_label
_atom_site_fract_x
_atom_site_fract_y
_atom_site_fract_z
Na1 0.000 0.000 0.000
Zn1 0.500 0.500 0.500
Si1 0.000 0.500 0.500
P1 0.500 0.500 0.000
```

Computed properties:
The formation energy from raw total energies comes out at 0.772 eV per atom.

Here is Na2Sr3P4 at its PBEsol-relaxed geometry from Alexandria. Energies are from meta-GGA SCAN.

```
data_Na2Sr3P4
_chemical_formula_sum 'Na8 Sr12 P16'
_cell_length_a 7.933
_cell_length_b 7.290
_cell_length_c 16.982
_cell_angle_alpha 90.00
_cell_angle_beta 117.72
_cell_angle_gamma 90.00
_space_group_name_H-M_alt 'P 1 21/c 1'
_space_group_IT_number 14
_space_group_name_Hall '-P 2ybc'
loop_
_atom_site_label
_atom_site_fract_x
_atom_site_fract_y
_atom_site_fract_z
Na1 0.198 0.188 0.378
Na2 0.262 0.635 0.750
Sr1 0.058 0.685 0.371
Sr2 0.295 0.537 0.101
Sr3 0.410 0.037 0.101
P1 0.009 0.636 0.536
P2 0.177 0.021 0.752
P3 0.370 0.244 0.749
P4 0.434 0.633 0.964
```

Computed properties:
The calculation puts the calculated formation energy at -0.98 eV/atom.

Here is NaSr3P at its PBEsol-relaxed geometry from Alexandria. Energies are from meta-GGA SCAN.

```
data_NaSr3P
_chemical_formula_sum 'Na1 Sr3 P1'
_cell_length_a 5.947
_cell_length_b 5.947
_cell_length_c 5.947
_cell_angle_alpha 90.00
_cell_angle_beta 90.00
_cell_angle_gamma 90.00
_space_group_name_H-M_alt 'P m -3 m'
_space_group_IT_number 221
_space_group_name_Hall '-P 4 2 3'
loop_
_atom_site_label
_atom_site_fract_x
_atom_site_fract_y
_atom_site_fract_z
Na1 0.000 0.000 0.000
Sr1 0.000 0.500 0.500
P1 0.500 0.500 0.500
```

Computed properties:
The calculation puts the calculated formation energy at -0.57 eV/atom.

Here is Na5SrTaP4 at its PBEsol-relaxed geometry from Alexandria. Energies are from meta-GGA SCAN.

```
data_Na5SrTaP4
_chemical_formula_sum 'Na20 Sr4 Ta4 P16'
_cell_length_a 9.247
_cell_length_b 15.994
_cell_length_c 7.299
_cell_angle_alpha 90.00
_cell_angle_beta 90.41
_cell_angle_gamma 90.00
_space_group_name_H-M_alt 'C 1 c 1'
_space_group_IT_number 9
_space_group_name_Hall 'C -2yc'
loop_
_atom_site_label
_atom_site_fract_x
_atom_site_fract_y
_atom_site_fract_z
Na1 0.000 0.033 0.000
Na2 0.011 0.362 0.335
Na3 0.227 0.431 0.815
Na4 0.288 0.070 0.346
Na5 0.303 0.268 0.501
Sr1 0.208 0.235 0.006
Ta1 0.009 0.165 0.612
P1 0.004 0.169 0.287
P2 0.004 0.307 0.718
P3 0.219 0.096 0.725
P4 0.292 0.403 0.207
```

Computed properties:
The calculation puts the calculated formation energy at -0.75 eV/atom.

Here is NaSrTe2P at its PBEsol-relaxed geometry from Alexandria. Energies are from meta-GGA SCAN.

```
data_NaSrTe2P
_chemical_formula_sum 'Na1 Sr1 Te2 P1'
_cell_length_a 6.051
_cell_length_b 6.051
_cell_length_c 5.495
_cell_angle_alpha 90.00
_cell_angle_beta 90.00
_cell_angle_gamma 90.00
_space_group_name_H-M_alt 'P 4/m m m'
_space_group_IT_number 123
_space_group_name_Hall '-P 4 2'
loop_
_atom_site_label
_atom_site_fract_x
_atom_site_fract_y
_atom_site_fract_z
Na1 0.000 0.000 0.000
Sr1 0.500 0.500 0.500
Te1 0.000 0.500 0.500
P1 0.500 0.500 0.000
```

Computed properties:
The formation energy from raw total energies comes out at 0.112 eV per atom.

Here is NaTa3P at its PBEsol-relaxed geometry from Alexandria. Energies are from meta-GGA SCAN.

```
data_NaTa3P
_chemical_formula_sum 'Na1 Ta3 P1'
_cell_length_a 4.562
_cell_length_b 4.562
_cell_length_c 4.562
_cell_angle_alpha 90.00
_cell_angle_beta 90.00
_cell_angle_gamma 90.00
_space_group_name_H-M_alt 'P m -3 m'
_space_group_IT_number 221
_space_group_name_Hall '-P 4 2 3'
loop_
_atom_site_label
_atom_site_fract_x
_atom_site_fract_y
_atom_site_fract_z
Na1 0.000 0.000 0.000
Ta1 0.000 0.000 0.500
P1 0.500 0.500 0.500
```

Computed properties:
The calculation puts the calculated formation energy at 2.52 eV/atom.